Ac3Nb2N6 after structural relaxation, computed with PBE-GGA.

Cell lengths 10.843, 10.843, 10.843 Å; angles 157.98, 157.98, 31.33 degrees
Positions (direct):
Ac 0.820 0.820 0.000
Nb 0.399 0.399 0.000
Ac 0.180 0.180 0.000
N 0.304 0.304 0.000
N 0.086 0.586 0.500
N 0.586 0.086 0.500
N 0.414 0.914 0.500
N 0.914 0.414 0.500
Nb 0.601 0.601 0.000
Ac 0.000 0.000 0.000
N 0.696 0.696 0.000

## Properties
Raw total energy   -8.723 eV/atom
Total moment   0.0 μB per cell
Calculated density   8.82 g/cm³
Space-group type   I4/mmm (139)